Tl2FeBr: relaxed, GGA-PBEsol.

Results
- Polymorph energy (0 for the lowest one): 0.000 eV per atom
- Space group: Cm (8)
- E: -15.3 eV/f.u.
- Total magnetization: 2.796 Bohr magnetons per cell
- E_form (uncorrected): 0.21 eV/atom

```
Tl2FeBr
1.0
3.250 0.000 0.000
0.000 5.994 -0.050
-1.625 -2.467 4.879
Br Tl Fe
1 2 1
direct
0.415 0.491 0.830
0.064 0.126 0.128
0.215 0.730 0.431
0.806 0.153 0.611
```